Entry 1:
This record from the Alexandria database describes an optimized crystal structure of PaSiRu3. The functional is PBE.

Results
SG = I-4m2, No. 119
VASP energy = -8.55 eV per atom
volume = 198.92 Å³/cell

a b c (Å): 8.935 8.935 8.935
angles (deg): 148.06 148.06 45.79
Element x y z (fractional)
Pa 0.119 0.119 0.000
Pa 0.881 0.881 0.000
Si 0.250 0.750 0.500
Si 0.500 0.500 0.000
Ru 0.372 0.130 0.758
Ru 0.372 0.614 0.242
Ru 0.386 0.628 0.758
Ru 0.524 0.024 0.500
Ru 0.870 0.628 0.242
Ru 0.976 0.476 0.500

Entry 2:
This record from the Alexandria database describes an optimized crystal structure of Pa2Si2Ru. The functional is PBE.

Results
SG = P4/mbm, No. 127
VASP energy = -8.49 eV per atom
volume = 188.22 Å³/cell
polymorph energy (0 for the lowest one) = 0.00 kJ/mol of atoms

a b c (Å): 6.441 6.441 4.537
angles (deg): 90.00 90.00 90.00
Element x y z (fractional)
Pa 0.155 0.345 0.000
Pa 0.345 0.845 0.000
Pa 0.655 0.155 0.000
Pa 0.845 0.655 0.000
Si 0.140 0.640 0.500
Si 0.360 0.140 0.500
Si 0.640 0.860 0.500
Si 0.860 0.360 0.500
Ru 0.000 0.000 0.500
Ru 0.500 0.500 0.500

Entry 3:
This record from the Alexandria database describes an optimized crystal structure of PaSiRu2. The functional is PBE.

Results
SG = R-3m, No. 166
VASP energy = -8.49 eV per atom
volume = 196.82 Å³/cell

a b c (Å): 2.996 2.996 25.311
angles (deg): 90.00 90.00 120.00
Element x y z (fractional)
Pa 0.000 0.000 0.000
Pa 0.333 0.667 0.667
Pa 0.667 0.333 0.333
Si 0.000 0.000 0.500
Si 0.333 0.667 0.167
Si 0.667 0.333 0.833
Ru 0.000 0.000 0.235
Ru 0.000 0.000 0.765
Ru 0.333 0.667 0.432
Ru 0.333 0.667 0.902
Ru 0.667 0.333 0.098
Ru 0.667 0.333 0.568

Entry 4:
This record from the Alexandria database describes an optimized crystal structure of Pa3Si2Ru3. The functional is PBE.

Results
SG = Pnma, No. 62
VASP energy = -9.08 eV per atom
volume = 602.44 Å³/cell

a b c (Å): 7.562 14.422 5.524
angles (deg): 90.00 90.00 90.00
Element x y z (fractional)
Pa 0.029 0.107 0.139
Pa 0.029 0.393 0.139
Pa 0.172 0.250 0.626
Pa 0.328 0.750 0.126
Pa 0.471 0.607 0.639
Pa 0.471 0.893 0.639
Pa 0.529 0.107 0.361
Pa 0.529 0.393 0.361
Pa 0.672 0.250 0.874
Pa 0.828 0.750 0.374
Pa 0.971 0.607 0.861
Pa 0.971 0.893 0.861
Si 0.112 0.609 0.355
Si 0.112 0.891 0.355
Si 0.388 0.109 0.855
Si 0.388 0.391 0.855
Si 0.612 0.609 0.145
Si 0.612 0.891 0.145
Si 0.888 0.109 0.645
Si 0.888 0.391 0.645
Ru 0.172 0.031 0.601
Ru 0.172 0.469 0.601
Ru 0.202 0.750 0.630
Ru 0.298 0.250 0.130
Ru 0.328 0.531 0.101
Ru 0.328 0.969 0.101
Ru 0.672 0.031 0.899
Ru 0.672 0.469 0.899
Ru 0.702 0.750 0.870
Ru 0.798 0.250 0.370
Ru 0.828 0.531 0.399
Ru 0.828 0.969 0.399